Computed, not measured: Y2Sc2Pb2S after structural relaxation at the PBE-GGA level of DFT.

```
data_Y2Sc2Pb2S
_space_group_name_H-M_alt 'I 4/m m m'
_space_group_IT_number 139
_space_group_name_Hall '-I 4 2'
_cell_length_a 4.777
_cell_length_b 4.777
_cell_length_c 16.070
_cell_angle_alpha 90.00
_cell_angle_beta 90.00
_cell_angle_gamma 90.00
loop_
_atom_site_label
_atom_site_type_symbol
_atom_site_fract_x
_atom_site_fract_y
_atom_site_fract_z
_atom_site_occupancy
Y1 Y 0.000 0.000 0.167 1
Sc1 Sc 0.000 0.500 0.000 1
Pb1 Pb 0.000 0.000 0.365 1
S1 S 0.000 0.000 0.000 1
```

Summary:
Formation energy (no corrections), eV/f.u.: -6.161
Mass density, Mg/m³: 6.5
Electronic total energy, eV/atom: -6.19

***

Computed, not measured: BePb5 after structural relaxation at the PBE-GGA level of DFT.

```
data_BePb5
_space_group_name_H-M_alt 'C m m m'
_space_group_IT_number 65
_space_group_name_Hall '-C 2 2'
_cell_length_a 3.366
_cell_length_b 18.474
_cell_length_c 5.733
_cell_angle_alpha 90.00
_cell_angle_beta 90.00
_cell_angle_gamma 90.00
loop_
_atom_site_label
_atom_site_type_symbol
_atom_site_fract_x
_atom_site_fract_y
_atom_site_fract_z
_atom_site_occupancy
Be1 Be 0.000 0.000 0.000 1
Pb1 Pb 0.000 0.171 0.500 1
Pb2 Pb 0.000 0.378 0.000 1
Pb3 Pb 0.000 0.500 0.500 1
```

Summary:
E above lowest polymorph, eV/f.u.: 0.24
Energy of formation from the pure elements, kcal/mol of atoms: 6.8
Mass density, Mg/m³: 9.7
Electronic total energy, eV/atom: -3.42

***

Computed, not measured: VIr2Os3 after structural relaxation at the PBE-GGA level of DFT.

```
data_VIr2Os3
_space_group_name_H-M_alt 'F m m m'
_space_group_IT_number 69
_space_group_name_Hall '-F 2 2'
_cell_length_a 5.455
_cell_length_b 8.584
_cell_length_c 14.893
_cell_angle_alpha 90.00
_cell_angle_beta 90.00
_cell_angle_gamma 90.00
loop_
_atom_site_label
_atom_site_type_symbol
_atom_site_fract_x
_atom_site_fract_y
_atom_site_fract_z
_atom_site_occupancy
V1 V 0.000 0.000 0.167 1
Ir1 Ir 0.243 0.000 0.000 1
Ir2 Ir 0.250 0.250 0.250 1
Os1 Os 0.000 0.000 0.331 1
Os2 Os 0.000 0.246 0.085 1
```

Summary:
Energy of formation from the pure elements, kcal/mol of atoms: 1.9
Mass density, Mg/m³: 19.2
Electronic total energy, eV/atom: -10.01